[1]
PBE LaCd2Ag2, relaxed; calculated volume = 122 Å³/cell; density = 7.87 g/cm3; ΔE_f = -0.2294 eV per atom; polymorph energy (0 for the lowest one) = 0 meV/atom
1.0
-2.171 2.171 6.482
2.171 -2.171 6.482
2.171 2.171 -6.482
La Cd Ag
1 2 2
direct
0.000 0.000 0.000
0.250 0.750 0.500
0.750 0.250 0.500
0.395 0.395 0.000
0.605 0.605 0.000



[2]
PBE Ca2ReTcB, relaxed; calculated volume = 143 Å³/cell; density = 4.37 g/cm3; ΔE_f = 1.6796 eV per atom
1.0
5.613 0.000 0.000
0.000 5.613 0.000
0.000 0.000 4.528
Ca Re Tc B
2 1 1 1
direct
0.000 0.500 0.000
0.500 0.000 0.000
0.000 0.000 0.000
0.000 0.000 0.500
0.500 0.500 0.500



[3]
PBE Pr13Zn2, relaxed; calculated volume = 507 Å³/cell; density = 6.43 g/cm3; ΔE_f = -0.0096 eV per atom
1.0
6.791 0.000 0.000
1.396 8.519 0.000
1.355 4.094 8.762
Pr Zn
13 2
direct
0.000 0.000 0.000
0.031 0.213 0.334
0.190 0.641 0.365
0.239 0.579 0.019
0.276 0.360 0.774
0.439 0.057 0.154
0.487 0.769 0.575
0.513 0.231 0.425
0.561 0.943 0.846
0.724 0.640 0.226
0.761 0.421 0.981
0.810 0.359 0.635
0.969 0.787 0.666
0.177 0.068 0.672
0.823 0.932 0.328



[4]
PBE Ac3ZnGe4, relaxed; calculated volume = 236 Å³/cell; density = 7.29 g/cm3; ΔE_f = -0.5300 eV per atom
1.0
-2.414 3.045 8.032
2.414 -3.045 8.032
2.414 3.045 -8.032
Ac Zn Ge
3 1 4
direct
0.000 0.000 0.000
0.311 0.811 0.500
0.689 0.189 0.500
0.500 0.500 0.000
0.087 0.380 0.707
0.328 0.620 0.707
0.672 0.380 0.293
0.913 0.620 0.293



[5]
PBE CsUGaS4, relaxed; calculated volume = 397 Å³/cell; formation energy from raw total energies = -26.52 kcal/mol of atoms; density = 4.76 g/cm3
1.0
6.464 0.000 0.000
0.000 6.779 0.000
-3.204 0.000 9.056
Cs U Ga S
2 2 2 8
direct
0.241 0.250 0.443
0.759 0.750 0.557
0.279 0.250 0.952
0.721 0.750 0.048
0.270 0.750 0.157
0.730 0.250 0.843
0.032 0.750 0.922
0.068 0.750 0.307
0.483 0.507 0.812
0.483 0.993 0.812
0.517 0.007 0.188
0.517 0.493 0.188
0.932 0.250 0.693
0.968 0.250 0.078



[6]
PBE La3NdAu2, relaxed; calculated volume = 363 Å³/cell; density = 8.73 g/cm3; ΔE_f = -0.5596 eV per atom
1.0
5.186 0.000 0.000
0.000 9.495 0.000
0.000 0.000 7.375
La Nd Au
6 2 4
direct
0.000 0.076 0.000
0.000 0.338 0.349
0.000 0.662 0.849
0.000 0.924 0.500
0.500 0.163 0.657
0.500 0.837 0.157
0.500 0.428 0.008
0.500 0.572 0.508
0.000 0.347 0.768
0.000 0.653 0.268
0.500 0.157 0.240
0.500 0.843 0.740



[7]
PBE PrSmCF, relaxed; calculated volume = 85 Å³/cell; formation energy from raw total energies = -27.10 kcal/mol of atoms; density = 6.31 g/cm3
1.0
5.246 0.000 0.000
0.000 2.150 3.763
0.000 -2.150 3.763
Pr Sm C F
1 1 1 1
direct
0.000 0.000 0.000
0.500 0.670 0.670
0.500 0.002 0.002
0.000 0.669 0.669



[8]
PBE Li3CuSn, relaxed; calculated volume = 191 Å³/cell; density = 3.53 g/cm3; ΔE_f = -0.1304 eV per atom; polymorph energy (0 for the lowest one) = 0 meV/atom
1.0
-2.899 4.687 3.517
2.899 -4.687 3.517
2.899 4.687 -3.517
Li Cu Sn
6 2 2
direct
0.264 0.000 0.764
0.264 0.500 0.264
0.303 0.053 0.250
0.697 0.947 0.750
0.736 0.000 0.236
0.736 0.500 0.736
0.000 0.000 0.500
0.000 0.500 0.000
0.298 0.548 0.750
0.702 0.452 0.250



[9]
PBE Tl2Cu2PdF6, relaxed; calculated volume = 187 Å³/cell; formation energy from raw total energies = -31.04 kcal/mol of atoms; density = 6.73 g/cm3
1.0
6.075 -2.986 0.000
6.075 2.986 0.000
-0.960 0.000 5.145
Tl Cu Pd F
2 2 1 6
direct
0.212 0.212 0.207
0.788 0.788 0.793
0.462 0.462 0.757
0.538 0.538 0.243
0.000 0.000 0.500
0.178 0.673 0.259
0.305 0.305 0.735
0.327 0.822 0.741
0.673 0.178 0.259
0.695 0.695 0.265
0.822 0.327 0.741



[10]
PBE ZnHgIr2, relaxed; calculated volume = 64 Å³/cell; density = 16.93 g/cm3; ΔE_f = 0.2404 eV per atom
1.0
1.443 0.833 8.847
-1.443 0.833 8.847
0.000 -1.666 8.847
Zn Hg Ir
1 1 2
direct
0.000 0.000 0.000
0.500 0.500 0.500
0.256 0.256 0.256
0.744 0.744 0.744



[11]
PBE SiHgMo, relaxed; calculated volume = 111 Å³/cell; formation energy from raw total energies = 3.52 kcal/mol of atoms; density = 9.71 g/cm3; polymorph energy (0 for the lowest one) = 131 meV/atom
1.0
6.236 -1.853 0.000
6.236 1.853 0.000
-0.891 0.000 4.803
Si Hg Mo
2 2 2
direct
0.224 0.224 0.130
0.776 0.776 0.870
0.000 0.000 0.000
0.500 0.500 0.500
0.169 0.169 0.596
0.831 0.831 0.404



[12]
PBE Mg3VBi, relaxed; calculated volume = 141 Å³/cell; density = 3.91 g/cm3; ΔE_f = 0.7796 eV per atom; polymorph energy (0 for the lowest one) = 0 meV/atom
1.0
5.209 0.000 0.000
0.000 5.209 0.000
0.000 0.000 5.209
Mg V Bi
3 1 1
direct
0.000 0.000 0.500
0.000 0.500 0.000
0.500 0.000 0.000
0.000 0.000 0.000
0.500 0.500 0.500